# 1
First-principles (PBE) data for a relaxed structure of Ba5Li2F12, as listed in Alexandria.

Output
space group = C2/m

Lattice parameters (Å, degrees): 7.667 7.667 8.292 105.63 105.63 52.90
Positions (direct):
1 Ba 0.000 0.000 0.000
2 Ba 0.298 0.298 0.652
3 Ba 0.328 0.328 0.160
4 Ba 0.672 0.672 0.840
5 Ba 0.702 0.702 0.348
6 Li 0.182 0.818 0.500
7 Li 0.818 0.182 0.500
8 F 0.009 0.009 0.685
9 F 0.075 0.595 0.914
10 F 0.124 0.579 0.430
11 F 0.405 0.925 0.086
12 F 0.421 0.876 0.570
13 F 0.486 0.486 0.765
14 F 0.514 0.514 0.235
15 F 0.579 0.124 0.430
16 F 0.595 0.075 0.914
17 F 0.876 0.421 0.570
18 F 0.925 0.405 0.086
19 F 0.991 0.991 0.315

---

# 2
First-principles (PBE) data for a relaxed structure of BaLiF3, as listed in Alexandria.

Output
space group = Pm-3m
distance to the lowest polymorph of the same formula = 634.8 meV per atom

Lattice parameters (Å, degrees): 5.083 5.083 5.083 90.00 90.00 90.00
Positions (direct):
1 Ba 0.000 0.000 0.000
2 Li 0.500 0.500 0.500
3 F 0.000 0.000 0.500
4 F 0.000 0.500 0.000
5 F 0.500 0.000 0.000

---

# 3
First-principles (PBE) data for a relaxed structure of Ba4Li2F, as listed in Alexandria.

Output
space group = I4/mmm

Lattice parameters (Å, degrees): 10.836 10.836 10.836 150.72 150.72 41.89
Positions (direct):
1 Ba 0.000 0.500 0.500
2 Ba 0.185 0.185 0.000
3 Ba 0.500 0.000 0.500
4 Ba 0.815 0.815 0.000
5 Li 0.371 0.371 0.000
6 Li 0.629 0.629 0.000
7 F 0.000 0.000 0.000

---

# 4
First-principles (PBE) data for a relaxed structure of BaLi2F, as listed in Alexandria.

Output
space group = Fm-3m
distance to the lowest polymorph of the same formula = 757.3 meV per atom

Lattice parameters (Å, degrees): 5.441 5.441 5.441 60.00 60.00 60.00
Positions (direct):
1 Ba 0.000 0.000 0.000
2 Li 0.250 0.250 0.250
3 Li 0.750 0.750 0.750
4 F 0.500 0.500 0.500

---

What did we get for volume? Answer: 371, 131, 304, 114 Å³ per cell, in the order shown.
What did we get for uncorrected formation energy? Answer: -3.5799, -2.8526, -0.6974, -0.3734 eV/atom, in the order shown.